No. 1
The following is a DFT calculation (PBE) of a relaxed structure of LaRh3O.

Results
Formation energy without anion corrections ... -0.3508 eV per atom
DOS at the Fermi energy ... 1.28 states/eV per atom
Distance to the lowest polymorph of the same formula ... 0.000 eV per atom

Unit cell a=4.3197 b=4.3197 c=4.3197 alpha=90.00 beta=90.00 gamma=90.00
Sites, in units of the cell vectors:
La 0.0000 0.0000 0.0000
Rh 0.0000 0.5000 0.5000
Rh 0.5000 0.0000 0.5000
Rh 0.5000 0.5000 0.0000
O 0.5000 0.5000 0.5000

---

No. 2
The following is a DFT calculation (PBE) of a relaxed structure of La12Rh3O5.

Results
Formation energy without anion corrections ... -1.5534 eV per atom
DOS at the Fermi energy ... 1.30 states/eV per atom

Unit cell a=13.8421 b=13.8421 c=13.8421 alpha=109.47 beta=109.47 gamma=109.47
Sites, in units of the cell vectors:
La 0.0241 0.2077 0.1178
La 0.0241 0.3164 0.9063
La 0.0899 0.7077 0.6836
La 0.0899 0.8822 0.4063
La 0.0937 0.6178 0.4101
La 0.0937 0.9759 0.6836
La 0.1178 0.0241 0.2077
La 0.1178 0.5937 0.9101
La 0.1836 0.2077 0.5899
La 0.1836 0.4759 0.5937
La 0.2077 0.1178 0.0241
La 0.2077 0.5899 0.1836
La 0.2923 0.3164 0.9101
La 0.2923 0.4759 0.3822
La 0.3164 0.9063 0.0241
La 0.3164 0.9101 0.2923
La 0.3822 0.2923 0.4759
La 0.3822 0.5899 0.9063
La 0.4063 0.0899 0.8822
La 0.4063 0.8164 0.5241
La 0.4101 0.0937 0.6178
La 0.4101 0.8164 0.7923
La 0.4759 0.3822 0.2923
La 0.4759 0.5937 0.1836
La 0.5241 0.4063 0.8164
La 0.5241 0.6178 0.7077
La 0.5899 0.1836 0.2077
La 0.5899 0.9063 0.3822
La 0.5937 0.1836 0.4759
La 0.5937 0.9101 0.1178
La 0.6178 0.4101 0.0937
La 0.6178 0.7077 0.5241
La 0.6836 0.0899 0.7077
La 0.6836 0.0937 0.9759
La 0.7077 0.5241 0.6178
La 0.7077 0.6836 0.0899
La 0.7923 0.4101 0.8164
La 0.7923 0.8822 0.9759
La 0.8164 0.5241 0.4063
La 0.8164 0.7923 0.4101
La 0.8822 0.4063 0.0899
La 0.8822 0.9759 0.7923
La 0.9063 0.0241 0.3164
La 0.9063 0.3822 0.5899
La 0.9101 0.1178 0.5937
La 0.9101 0.2923 0.3164
La 0.9759 0.6836 0.0937
La 0.9759 0.7923 0.8822
Rh 0.1250 0.2500 0.3750
Rh 0.1250 0.3750 0.7500
Rh 0.2500 0.3750 0.1250
Rh 0.2500 0.8750 0.6250
Rh 0.3750 0.1250 0.2500
Rh 0.3750 0.7500 0.1250
Rh 0.6250 0.2500 0.8750
Rh 0.6250 0.8750 0.7500
Rh 0.7500 0.1250 0.3750
Rh 0.7500 0.6250 0.8750
Rh 0.8750 0.6250 0.2500
Rh 0.8750 0.7500 0.6250
O 0.0000 0.0000 0.0000
O 0.0000 0.0000 0.5000
O 0.0000 0.5000 0.0000
O 0.0000 0.5000 0.5000
O 0.1250 0.7500 0.8750
O 0.1250 0.8750 0.2500
O 0.2500 0.1250 0.8750
O 0.2500 0.6250 0.3750
O 0.3750 0.2500 0.6250
O 0.3750 0.6250 0.7500
O 0.5000 0.0000 0.0000
O 0.5000 0.0000 0.5000
O 0.5000 0.5000 0.0000
O 0.5000 0.5000 0.5000
O 0.6250 0.3750 0.2500
O 0.6250 0.7500 0.3750
O 0.7500 0.3750 0.6250
O 0.7500 0.8750 0.1250
O 0.8750 0.1250 0.7500
O 0.8750 0.2500 0.1250

---

No. 3
The following is a DFT calculation (PBE) of a relaxed structure of LaRhO2.

Results
Formation energy without anion corrections ... -1.6395 eV per atom
DOS at the Fermi energy ... 0.43 states/eV per atom

Unit cell a=7.1930 b=7.1930 c=7.1930 alpha=143.94 beta=143.94 gamma=51.91
Sites, in units of the cell vectors:
La 0.0000 0.0000 0.0000
La 0.7500 0.2500 0.5000
Rh 0.2500 0.7500 0.5000
Rh 0.5000 0.5000 0.0000
O 0.1771 0.6250 0.0521
O 0.3750 0.4271 0.5521
O 0.5729 0.1250 0.9479
O 0.8750 0.8229 0.4479

---

No. 4
The following is a DFT calculation (PBE) of a relaxed structure of LaRhO.

Results
Formation energy without anion corrections ... -1.9240 eV per atom
DOS at the Fermi energy ... 0.67 states/eV per atom

Unit cell a=8.1840 b=5.4768 c=5.4776 alpha=90.00 beta=109.46 gamma=90.00
Sites, in units of the cell vectors:
La 0.1704 0.0000 0.3348
La 0.1704 0.5000 0.8348
La 0.8296 0.0000 0.6652
La 0.8296 0.5000 0.1652
Rh 0.5000 0.1747 0.1748
Rh 0.5000 0.3253 0.6748
Rh 0.5000 0.6747 0.3252
Rh 0.5000 0.8253 0.8252
O 0.0000 0.2500 0.0009
O 0.0000 0.2500 0.5009
O 0.0000 0.7500 0.4991
O 0.0000 0.7500 0.9991

---

No. 5
The following is a DFT calculation (PBE) of a relaxed structure of LaRhO4.

Results
Formation energy without anion corrections ... -1.7601 eV per atom
DOS at the Fermi energy ... 0.05 states/eV per atom

Unit cell a=5.7970 b=5.7970 c=6.1464 alpha=104.96 beta=104.96 gamma=103.17
Sites, in units of the cell vectors:
La 0.1357 0.8643 0.7500
La 0.8643 0.1357 0.2500
Rh 0.4951 0.5049 0.2500
Rh 0.5049 0.4951 0.7500
O 0.2067 0.2078 0.1057
O 0.2078 0.2067 0.6057
O 0.3362 0.6275 0.4986
O 0.3725 0.6637 0.0014
O 0.6275 0.3362 0.9986
O 0.6637 0.3725 0.5014
O 0.7922 0.7933 0.3943
O 0.7933 0.7922 0.8943

---

No. 6
The following is a DFT calculation (PBE) of a relaxed structure of La6Rh2O.

Results
Formation energy without anion corrections ... -1.0046 eV per atom
DOS at the Fermi energy ... 1.02 states/eV per atom

Unit cell a=6.6384 b=7.3474 c=12.1272 alpha=90.00 beta=122.35 gamma=90.00
Sites, in units of the cell vectors:
La 0.1063 0.1814 0.4353
La 0.1063 0.3186 0.9353
La 0.2559 0.6609 0.4336
La 0.2559 0.8391 0.9336
La 0.3751 0.0425 0.2379
La 0.3751 0.4575 0.7379
La 0.6249 0.5425 0.2621
La 0.6249 0.9575 0.7621
La 0.7441 0.1609 0.0664
La 0.7441 0.3391 0.5664
La 0.8937 0.6814 0.0647
La 0.8937 0.8186 0.5647
Rh 0.1813 0.1155 0.7419
Rh 0.1813 0.3845 0.2419
Rh 0.8187 0.6155 0.7581
Rh 0.8187 0.8845 0.2581
O 0.0000 0.0000 0.0000
O 0.0000 0.5000 0.5000